Entry 1:
Entry from Alexandria via LeMat-Bulk: an optimized crystal structure of Na8B11C5 (PBE).

Output
Excess energy over the best structure of this formula in the dataset: 0.10 eV/f.u.
Space group: Amm2, No. 38

Unit cell a=10.0301 b=10.0301 c=2.7992 alpha=90.00 beta=90.00 gamma=118.15
Atoms (fractional coordinates):
Na (0.7522, 0.7516, 0.5000)
Na (0.4985, 0.9990, 0.5000)
Na (0.2490, 0.2485, 0.5000)
Na (0.0016, 0.5022, 0.5000)
Na (0.4998, 0.5014, 0.0000)
Na (0.2469, 0.7508, 0.0000)
Na (0.0008, 0.9969, 0.0000)
Na (0.7514, 0.2498, 0.0000)
C (0.9569, 0.7069, 0.0000)
C (0.2921, 0.5451, 0.5000)
C (0.1972, 0.9472, 0.5000)
C (0.7951, 0.0421, 0.5000)
C (0.7171, 0.4671, 0.5000)
B (0.5505, 0.7999, 0.0000)
B (0.4500, 0.2000, 0.0000)
B (0.2770, 0.0270, 0.0000)
B (0.7154, 0.9633, 0.0000)
B (0.0499, 0.3005, 0.0000)
B (0.7987, 0.5487, 0.0000)
B (0.2133, 0.4654, 0.0000)
B (0.0368, 0.7868, 0.5000)
B (0.4418, 0.6933, 0.5000)
B (0.5646, 0.3146, 0.5000)
B (0.9433, 0.1918, 0.5000)

Entry 2:
Entry from Alexandria via LeMat-Bulk: an optimized crystal structure of NdEr2Np (PBE).

Output
Space group: R-3m, No. 166

Unit cell a=3.3643 b=3.3643 c=12.3511 alpha=82.17 beta=82.17 gamma=60.00
Atoms (fractional coordinates):
Np (0.5000, 0.5000, 0.5000)
Nd (0.0000, 0.0000, 0.0000)
Er (0.0928, 0.0928, 0.7216)
Er (0.9072, 0.9072, 0.2784)

Entry 3:
Entry from Alexandria via LeMat-Bulk: an optimized crystal structure of CaDyHo (PBE).

Output
Excess energy over the best structure of this formula in the dataset: 0.00 eV/f.u.
Space group: P2_1/m, No. 11

Unit cell a=5.7512 b=3.6285 c=11.5479 alpha=80.93 beta=119.86 gamma=90.00
Atoms (fractional coordinates):
Ca (0.5458, 0.3572, 0.2331)
Ca (0.9081, 0.9268, 0.0953)
Dy (0.1823, 0.0392, 0.8697)
Dy (0.2716, 0.2449, 0.4587)
Ho (0.5751, 0.5932, 0.7624)
Ho (0.8788, 0.6909, 0.5659)

Volume (Å³ per atom)
10.35 29.89 34.25
Calculated formation energy (eV/atom)
0.11 0.39 0.07
Magnetization (μB/f.u.)
0.0 3.4 0.0